A plane-wave DFT calculation with PBE-GGA was carried out for LaRuBr2 after structural relaxation.

Values from the calculation:
space group = R-3m, No. 166
energy above the most stable polymorph in this dataset = 597 meV/atom
N(E_F) = 4.2 states/eV/cell

Cell: 9.736 9.736 9.736 Å, 21.45 21.45 21.45°
Element x y z (fractional)
La  0.000  0.000  0.000
Ru  0.500  0.500  0.500
Br  0.412  0.412  0.412
Br  0.588  0.588  0.588

---

A plane-wave DFT calculation with PBE-GGA was carried out for Li2ZrMn after structural relaxation.

Values from the calculation:
space group = F-43m, No. 216
energy above the most stable polymorph in this dataset = 211 meV/atom
formation energy from the elements = 0.3987 eV per atom
N(E_F) = 6.0 states/eV/cell

Cell: 4.580 4.580 4.580 Å, 60.00 60.00 60.00°
Element x y z (fractional)
Li  0.000  0.000  0.000
Li  0.250  0.250  0.250
Zr  0.750  0.750  0.750
Mn  0.500  0.500  0.500

---

A plane-wave DFT calculation with PBE-GGA was carried out for Cs6HAu2F3 after structural relaxation.

Values from the calculation:
space group = C2/m, No. 12
raw total energy = -3.1526 eV per atom

Cell: 11.033 11.033 9.179 Å, 113.30 113.30 24.07°
Element x y z (fractional)
Cs  0.006  0.006  0.261
Cs  0.341  0.341  0.885
Cs  0.352  0.352  0.326
Cs  0.648  0.648  0.674
Cs  0.659  0.659  0.115
Cs  0.994  0.994  0.739
H  0.500  0.500  0.000
Au  0.204  0.204  0.449
Au  0.796  0.796  0.551
F  0.144  0.144  0.885
F  0.500  0.500  0.500
F  0.856  0.856  0.115

---

A plane-wave DFT calculation with PBE-GGA was carried out for UPd2RhAu after structural relaxation.

Values from the calculation:
space group = P2_1/m, No. 11
formation energy from the elements = -0.3681 eV per atom
N(E_F) = 14.7 states/eV/cell

Cell: 6.481 3.919 6.945 Å, 90.00 94.00 90.00°
Element x y z (fractional)
U  0.226  0.250  0.254
U  0.774  0.750  0.746
Pd  0.157  0.750  0.551
Pd  0.464  0.250  0.652
Pd  0.536  0.750  0.348
Pd  0.843  0.250  0.449
Rh  0.028  0.250  0.841
Rh  0.972  0.750  0.159
Au  0.347  0.750  0.934
Au  0.653  0.250  0.066

---

A plane-wave DFT calculation with PBE-GGA was carried out for TiOsF2 after structural relaxation.

Values from the calculation:
space group = R-3m, No. 166
energy above the most stable polymorph in this dataset = 230 meV/atom
N(E_F) = 3.0 states/eV/cell

Cell: 10.160 10.160 10.160 Å, 15.44 15.44 15.44°
Element x y z (fractional)
Ti  0.000  0.000  0.000
Os  0.500  0.500  0.500
F  0.060  0.060  0.060
F  0.940  0.940  0.940

---

A plane-wave DFT calculation with PBE-GGA was carried out for Te2Os after structural relaxation.

Values from the calculation:
space group = I4/mmm, No. 139
raw total energy = -5.3659 eV per atom
N(E_F) = 2.8 states/eV/cell

Cell: 7.243 7.243 7.243 Å, 154.24 154.24 36.75°
Element x y z (fractional)
Te  0.124  0.124  0.000
Te  0.876  0.876  0.000
Os  0.500  0.500  0.000